The following is a PBE calculation of a relaxed structure of Pr3YPb2, from Alexandria.

Values from the calculation:
Volume, Å³/cell: 189.6
DOS(E_F), states/eV/cell: 6.97
Space group: No. 65
Mass density, g/cm3: 8.1
Calculated formation energy, eV/atom: -0.404
Uncorrected energy, eV/atom: -5.108

```
6
Lattice="2.516 -8.267 0.000 2.516 8.267 0.000 0.000 0.000 4.557" Properties=species:S:1:pos:R:3 pbc="T T T"
Pr 0.000 0.000 0.000
Pr 2.516 2.927 0.000
Pr 2.516 -2.927 0.000
Y 2.516 0.000 2.278
Pb 2.516 5.814 2.278
Pb 2.516 -5.814 2.278
```

The following is a PBE calculation of a relaxed structure of Tm8Te3Se3N, from Alexandria.

Values from the calculation:
Volume, Å³/cell: 388.2
DOS(E_F), states/eV/cell: 6.50
Formation energy from raw total energies, eV per atom: -1.2889
Space group: No. 166
Mass density, g/cm3: 8.5
Uncorrected energy, eV/atom: -5.554

```
15
Lattice="4.029 2.326 6.904 -4.029 2.326 6.904 0.000 -4.652 6.904" Properties=species:S:1:pos:R:3 pbc="T T T"
Tm 0.000 0.000 4.922
Tm -1.724 -0.995 11.690
Tm 0.000 -1.991 9.023
Tm -1.724 0.996 9.023
Tm 1.724 -0.996 11.690
Tm 0.000 1.991 11.690
Tm 1.724 0.996 9.023
Tm 0.000 0.000 15.791
Te -2.015 -1.163 6.904
Te -2.014 1.163 13.809
Te 0.000 2.326 6.904
Se -4.029 0.000 10.356
Se -2.014 1.163 3.452
Se 2.015 1.163 3.452
N 0.000 0.000 10.356
```

The following is a PBE calculation of a relaxed structure of PuReAgO6, from Alexandria.

Values from the calculation:
Volume, Å³/cell: 258.6
DOS(E_F), states/eV/cell: 9.11
Formation energy from raw total energies, eV per atom: -1.7311
Space group: No. 163
Mass density, g/cm3: 8.1
Uncorrected energy, eV/atom: -8.329

```
18
Lattice="5.519 0.000 0.000 -2.759 4.779 0.000 0.000 0.000 9.804" Properties=species:S:1:pos:R:3 pbc="T T T"
Pu 0.000 3.186 2.451
Pu 2.759 1.593 7.353
Re 0.000 3.186 7.353
Re 2.759 1.593 2.451
Ag 0.000 0.000 0.000
Ag 0.000 0.000 4.902
O -0.878 1.845 6.285
O -1.600 3.096 8.421
O 0.878 1.845 8.421
O -0.722 4.617 6.285
O 2.037 0.162 1.383
O 1.159 1.684 3.519
O 1.600 3.096 6.285
O 0.722 4.617 8.421
O 3.481 0.162 3.519
O 1.881 2.934 1.383
O 4.360 1.684 1.383
O 3.638 2.934 3.519
```

The following is a PBE calculation of a relaxed structure of Li8HgPb3, from Alexandria.

Values from the calculation:
Volume, Å³/cell: 254.6
DOS(E_F), states/eV/cell: 3.39
Space group: No. 69
Mass density, g/cm3: 5.7
Calculated formation energy, eV/atom: -0.230
Uncorrected energy, eV/atom: -2.458

```
12
Lattice="0.000 4.940 8.197 3.144 0.000 8.197 3.144 4.940 0.000" Properties=species:S:1:pos:R:3 pbc="T T T"
Li 4.762 4.940 5.648
Li 3.144 2.462 6.643
Li 3.144 2.462 9.751
Li 4.762 4.940 10.746
Li 1.525 4.940 5.648
Li 3.144 7.419 6.643
Li 3.144 7.419 9.751
Li 1.525 4.940 10.746
Hg 3.144 4.940 8.197
Pb 0.000 0.000 0.000
Pb 1.572 2.470 4.099
Pb 4.716 7.410 12.296
```

The following is a PBE calculation of a relaxed structure of HIr2RuSe, from Alexandria.

Values from the calculation:
Volume, Å³/cell: 63.6
DOS(E_F), states/eV/cell: 3.23
Space group: No. 123
Mass density, g/cm3: 14.8
Uncorrected energy, eV/atom: -6.156

```
5
Lattice="3.869 0.000 0.000 0.000 3.869 0.000 0.000 0.000 4.248" Properties=species:S:1:pos:R:3 pbc="T T T"
H 0.000 0.000 0.000
Ir 0.000 1.935 0.000
Ir 1.935 0.000 0.000
Ru 1.935 1.935 2.124
Se 0.000 0.000 2.124
```

The following is a PBE calculation of a relaxed structure of Sr2CdIn2, from Alexandria.

Values from the calculation:
Volume, Å³/cell: 364.9
DOS(E_F), states/eV/cell: 7.15
Space group: No. 127
Mass density, g/cm3: 4.7
Calculated formation energy, eV/atom: -0.166
Uncorrected energy, eV/atom: -2.118

```
10
Lattice="9.459 0.000 0.000 0.000 9.459 0.000 0.000 0.000 4.079" Properties=species:S:1:pos:R:3 pbc="T T T"
Sr 1.734 2.995 0.000
Sr 2.995 7.725 0.000
Sr 6.464 1.734 0.000
Sr 7.725 6.464 0.000
Cd 0.000 0.000 0.000
Cd 4.730 4.730 0.000
In 1.050 5.780 2.039
In 3.679 1.050 2.039
In 5.780 8.409 2.039
In 8.409 3.679 2.039
```

The following is a PBE calculation of a relaxed structure of Tb3Dy5Y2, from Alexandria.

Values from the calculation:
Volume, Å³/cell: 657.0
DOS(E_F), states/eV/cell: 40.34
Space group: No. 15
Mass density, g/cm3: 7.4
Calculated formation energy, eV/atom: 0.203
Uncorrected energy, eV/atom: -4.780

```
20
Lattice="5.322 -7.788 0.000 5.322 7.788 0.000 -5.280 0.000 7.926" Properties=species:S:1:pos:R:3 pbc="T T T"
Tb 1.256 1.974 0.382
Tb 1.361 4.222 5.944
Tb -1.384 -1.974 4.345
Tb 6.747 1.974 3.581
Tb 4.002 -4.222 1.981
Tb 4.107 -1.974 7.544
Dy 1.361 7.465 5.944
Dy -1.295 1.915 6.205
Dy 4.002 3.522 1.981
Dy 1.345 -1.915 2.242
Dy 4.002 0.437 1.981
Dy 1.361 -0.437 5.944
Dy 4.018 1.915 5.683
Dy 1.361 -3.522 5.944
Dy 6.658 -1.915 1.721
Dy 4.002 -7.465 1.981
Y 1.262 1.893 3.594
Y -1.379 -1.893 7.557
Y 6.742 1.893 0.369
Y 4.101 -1.893 4.331
```

The following is a PBE calculation of a relaxed structure of Al2B2Pd, from Alexandria.

Values from the calculation:
Volume, Å³/cell: 109.7
DOS(E_F), states/eV/cell: 3.68
Space group: No. 127
Mass density, g/cm3: 5.5
Calculated formation energy, eV/atom: -0.108
Uncorrected energy, eV/atom: -5.315

```
10
Lattice="5.722 0.000 0.000 0.000 5.722 0.000 0.000 0.000 3.351" Properties=species:S:1:pos:R:3 pbc="T T T"
Al 1.021 1.840 0.000
Al 1.840 4.701 0.000
Al 3.882 1.021 0.000
Al 4.701 3.882 0.000
B 0.611 3.472 1.675
B 2.250 0.611 1.675
B 3.472 5.111 1.675
B 5.111 2.250 1.675
Pd 0.000 0.000 1.675
Pd 2.861 2.861 1.675
```

The following is a PBE calculation of a relaxed structure of CeYMg14, from Alexandria.

Values from the calculation:
Volume, Å³/cell: 386.6
DOS(E_F), states/eV/cell: 13.43
Space group: No. 123
Mass density, g/cm3: 2.4
Calculated formation energy, eV/atom: -0.011
Uncorrected energy, eV/atom: -2.181

```
16
Lattice="6.914 0.000 0.000 0.000 6.914 0.000 0.000 0.000 8.086" Properties=species:S:1:pos:R:3 pbc="T T T"
Ce 0.000 0.000 0.000
Y 3.457 3.457 0.000
Mg 0.000 0.000 4.043
Mg 0.000 3.457 0.000
Mg 0.000 3.457 4.043
Mg 1.739 1.739 2.126
Mg 1.739 1.739 5.960
Mg 1.739 5.175 2.126
Mg 1.739 5.175 5.960
Mg 3.457 0.000 0.000
Mg 3.457 0.000 4.043
Mg 3.457 3.457 4.043
Mg 5.175 1.739 2.126
Mg 5.175 1.739 5.960
Mg 5.175 5.175 2.126
Mg 5.175 5.175 5.960
```

The following is a PBE calculation of a relaxed structure of RbLiH12Se3N4, from Alexandria.

Values from the calculation:
Volume, Å³/cell: 1199.6
Space group: No. 15
Mass density, g/cm3: 2.2
Uncorrected energy, eV/atom: -4.622

```
84
Lattice="10.262 -3.034 0.000 10.262 3.034 0.000 -8.366 0.000 19.264" Properties=species:S:1:pos:R:3 pbc="T T T"
Rb 1.703 0.154 5.004
Rb -2.480 -0.154 14.637
Rb 14.638 0.154 4.628
Rb 10.455 -0.154 14.260
Li -1.775 0.549 8.703
Li -5.958 -0.549 18.336
Li 18.116 0.549 0.929
Li 13.933 -0.549 10.561
H 8.049 2.769 3.437
H 4.736 2.329 8.157
H 2.216 0.667 1.423
H 1.211 2.366 18.382
H 0.746 0.897 8.233
H -3.593 0.748 17.839
H 8.292 2.769 6.195
H 6.891 2.270 6.871
H 2.931 2.197 16.153
H 9.450 2.270 2.761
H 5.044 2.197 12.744
H 6.764 2.366 10.515
H 11.605 2.329 1.475
H 0.635 0.050 9.644
H 4.818 -0.050 0.012
H -1.967 -0.667 11.055
H 0.590 -0.748 8.207
H -3.437 -0.897 17.866
H 3.020 0.006 11.035
H 7.203 -0.006 1.403
H 8.117 0.089 0.045
H 3.934 -0.089 9.677
H 4.665 0.080 11.139
H 8.848 -0.080 1.507
H 3.310 0.080 17.757
H 7.493 -0.080 8.125
H 8.225 0.089 9.588
H 4.041 -0.089 19.220
H 4.955 0.006 17.862
H 9.138 -0.006 8.230
H 15.595 0.897 1.399
H 11.568 0.748 11.058
H 14.125 0.667 8.210
H 7.340 0.050 19.252
H 11.523 -0.050 9.620
H 0.553 -2.329 17.789
H 5.394 -2.366 8.750
H 7.114 -2.197 6.521
H 2.708 -2.270 16.503
H 9.228 -2.197 3.111
H 5.267 -2.270 12.393
H 3.866 -2.769 13.069
H 15.752 -0.748 1.426
H 11.412 -0.897 11.031
H 10.947 -2.366 0.883
H 9.942 -0.667 17.842
H 7.422 -2.329 11.107
H 4.109 -2.769 15.827
Se 4.632 0.125 2.762
Se 0.449 -0.125 12.394
Se 5.179 0.170 6.538
Se 6.333 0.180 4.444
Se 0.996 -0.170 16.170
Se 2.150 -0.180 14.077
Se 10.008 0.180 5.188
Se 11.162 0.170 3.095
Se 5.825 -0.180 14.820
Se 6.979 -0.170 12.727
Se 11.709 0.125 6.871
Se 7.526 -0.125 16.503
N -2.680 0.000 6.885
N -6.863 0.000 16.517
N 1.545 0.112 0.878
N -2.638 -0.112 10.511
N 0.267 0.105 8.687
N -3.916 -0.105 18.319
N 3.858 0.386 10.579
N 8.042 -0.386 0.947
N 4.117 0.386 18.318
N 8.300 -0.386 8.686
N 16.075 0.105 0.945
N 11.892 -0.105 10.578
N 14.796 0.112 8.754
N 10.613 -0.112 18.386
N 19.021 0.000 2.748
N 14.838 0.000 12.380
```

The following is a PBE calculation of a relaxed structure of ScPdF2, from Alexandria.

Values from the calculation:
Volume, Å³/cell: 128.9
DOS(E_F), states/eV/cell: 2.41
Formation energy from raw total energies, eV per atom: -1.9776
Space group: No. 122
Mass density, g/cm3: 4.9
Uncorrected energy, eV/atom: -5.794

```
8
Lattice="-2.228 2.228 6.488 2.228 -2.228 6.488 2.228 2.228 -6.488" Properties=species:S:1:pos:R:3 pbc="T T T"
Sc 0.000 0.000 0.000
Sc 0.000 2.228 3.244
Pd 2.228 0.000 3.244
Pd 0.000 0.000 6.488
F 0.528 1.114 1.622
F -1.114 1.700 4.866
F -0.528 3.343 1.622
F 1.114 2.757 4.866
```

The following is a PBE calculation of a relaxed structure of Y3SeN, from Alexandria.

Values from the calculation:
Volume, Å³/cell: 108.6
DOS(E_F), states/eV/cell: 5.86
Formation energy from raw total energies, eV per atom: -0.8925
Space group: No. 221
Mass density, g/cm3: 5.5
Uncorrected energy, eV/atom: -7.133

```
5
Lattice="4.771 0.000 0.000 0.000 4.771 0.000 0.000 0.000 4.771" Properties=species:S:1:pos:R:3 pbc="T T T"
Y 0.000 0.000 2.385
Y 0.000 2.385 0.000
Y 2.385 0.000 0.000
Se 2.385 2.385 2.385
N 0.000 0.000 0.000
```